Mn3Cr2SnP6O24, relaxed, DFT GGA+U; Fermi-level density of states = 8.75 states/eV per cell; uncorrected energy = -263.64 eV per cell; volume = 12.57 A^3/atom; symmetry = No. 146
1.0
-7.9939 -2.2500 1.8775
-1.2894 -5.1974 6.6193
-3.5604 3.2166 7.0333
Mn Cr Sn P O
3 2 1 6 24
direct
0.8523 0.8523 0.8523
0.6477 0.6477 0.6477
0.3547 0.3547 0.3547
0.9972 0.9972 0.9972
0.5006 0.5006 0.5006
0.1462 0.1462 0.1462
0.7458 0.4507 0.0538
0.4507 0.0538 0.7458
0.0538 0.7458 0.4507
0.9477 0.2513 0.5536
0.5536 0.9477 0.2513
0.2513 0.5536 0.9477
0.9058 0.6736 0.4854
0.6736 0.4854 0.9058
0.9331 0.0964 0.7542
0.4854 0.9058 0.6736
0.9904 0.1722 0.4027
0.7474 0.4012 0.5632
0.7542 0.9331 0.0964
0.5632 0.7474 0.4012
0.8177 0.6018 0.0158
0.4012 0.5632 0.7474
0.9061 0.2463 0.0653
0.6018 0.0158 0.8177
0.4027 0.9904 0.1722
0.0964 0.7542 0.9331
0.5997 0.4279 0.2590
0.1722 0.4027 0.9904
0.4279 0.2590 0.5997
0.2463 0.0653 0.9061
0.2590 0.5997 0.4279
0.0158 0.8177 0.6018
0.5100 0.1030 0.3199
0.0653 0.9061 0.2463
0.3199 0.5100 0.1030
0.1030 0.3199 0.5100